Entry 1:
# SrTc2Cl, relaxed, DFT PBE-GGA
# Total energy (eV/atom): -5.07
# Formation energy without anion corrections (eV/atom): 0.9937
# SG: P4/mmm, No. 123
# Energy above the most stable polymorph in this dataset (eV/atom): 1.055
# DOS at the Fermi energy (states/eV/cell): 4.61
data_SrTc2Cl
_cell_length_a 3.868
_cell_length_b 3.868
_cell_length_c 5.892
_cell_angle_alpha 90.00
_cell_angle_beta 90.00
_cell_angle_gamma 90.00
_space_group_name_H-M_alt 'P 1'
_space_group_IT_number 1
_space_group_name_Hall 'P 1'
loop_
_atom_site_label
_atom_site_type_symbol
_atom_site_fract_x
_atom_site_fract_y
_atom_site_fract_z
Tc1 Tc 0.000 0.000 0.430
Sr1 Sr 0.500 0.500 0.750
Tc2 Tc 0.000 0.000 0.070
Cl1 Cl 0.500 0.500 0.250



Entry 2:
# SrTc2Cl, relaxed, DFT PBE-GGA
# Total energy (eV/atom): -6.12
# Formation energy without anion corrections (eV/atom): -0.0586
# SG: P4mm, No. 99
# Energy above the most stable polymorph in this dataset (eV/atom): 0.002
# DOS at the Fermi energy (states/eV/cell): 3.23
data_SrTc2Cl
_cell_length_a 3.445
_cell_length_b 3.445
_cell_length_c 8.640
_cell_angle_alpha 90.00
_cell_angle_beta 90.00
_cell_angle_gamma 90.00
_space_group_name_H-M_alt 'P 1'
_space_group_IT_number 1
_space_group_name_Hall 'P 1'
loop_
_atom_site_label
_atom_site_type_symbol
_atom_site_fract_x
_atom_site_fract_y
_atom_site_fract_z
Tc1 Tc 0.000 0.000 0.058
Tc2 Tc 0.500 0.500 0.119
Cl1 Cl 0.000 0.000 0.570
Sr1 Sr 0.500 0.500 0.752



Entry 3:
# Sr2TcCl, relaxed, DFT PBE-GGA
# Total energy (eV/atom): -4.03
# Formation energy without anion corrections (eV/atom): -0.1336
# SG: Amm2, No. 38
# Energy above the most stable polymorph in this dataset (eV/atom): 0.150
# DOS at the Fermi energy (states/eV/cell): 3.21
data_Sr2TcCl
_cell_length_a 6.139
_cell_length_b 6.139
_cell_length_c 5.263
_cell_angle_alpha 90.00
_cell_angle_beta 90.00
_cell_angle_gamma 33.32
_space_group_name_H-M_alt 'P 1'
_space_group_IT_number 1
_space_group_name_Hall 'P 1'
loop_
_atom_site_label
_atom_site_type_symbol
_atom_site_fract_x
_atom_site_fract_y
_atom_site_fract_z
Cl1 Cl 0.739 0.739 0.875
Sr1 Sr 0.997 0.997 0.875
Tc1 Tc 0.508 0.508 0.375
Sr2 Sr 0.255 0.255 0.375